This record from Alexandria describes an optimized crystal structure of CaLaCrSnO6. The functional is PBE+U.

As for the magnetization: 6.0 Bohr magnetons per cell. For the excess energy over the best structure of this formula in the dataset, the calculation gives 0 meV/atom. The calculation puts the total energy at -7.313 eV per atom. The density comes out at 5.84 g/cm3. The density of states at the Fermi level is 0.00 states/eV/f.u. As for the space-group type: Pc.

Structure (POSCAR):
```
CaLaCrSnO6
1.0
-5.482 -0.634 0.842
0.585 -5.651 -0.448
1.229 -0.496 7.850
Ca La Cr Sn O
2 2 2 2 12
Direct
0.513 0.200 0.250
0.013 0.800 0.750
0.989 0.707 0.250
0.489 0.293 0.750
0.499 0.750 0.501
0.999 0.250 0.001
0.500 0.751 0.999
0.000 0.249 0.499
0.910 0.218 0.753
0.410 0.782 0.253
0.797 0.961 0.049
0.297 0.039 0.549
0.790 0.955 0.452
0.290 0.045 0.952
0.706 0.452 0.051
0.206 0.548 0.551
0.699 0.458 0.449
0.199 0.542 0.949
0.597 0.722 0.746
0.097 0.278 0.246
```